DFT (PBE) results for SrAgAuSe3 after structural relaxation.

Structure (POSCAR):
```
SrAgAuSe3
1.0
2.1122 -6.5505 0.0000
2.1122 6.5505 0.0000
0.0000 0.0000 10.0805
Sr Au Ag Se
2 2 2 6
direct
0.2390 0.7610 0.7500 Sr
0.7610 0.2390 0.2500 Sr
0.0000 0.0000 0.5000 Au
0.0000 0.0000 0.0000 Au
0.4634 0.5366 0.2500 Ag
0.5366 0.4634 0.7500 Ag
0.6506 0.3494 0.5302 Se
0.6506 0.3494 0.9698 Se
0.3494 0.6506 0.4698 Se
0.0816 0.9184 0.2500 Se
0.3494 0.6506 0.0302 Se
0.9184 0.0816 0.7500 Se
```

The value obtained for the calculated total energy is -3.572 eV per atom.

DFT (PBE) results for Tl2AgAuSe4 after structural relaxation.

Structure (POSCAR):
```
Tl2AgAuSe4
1.0
-3.0821 3.0821 6.2547
3.0821 -3.0821 6.2547
3.0821 3.0821 -6.2547
Tl Ag Se Au
2 1 4 1
direct
0.2500 0.7500 0.5000 Tl
0.5000 0.5000 0.0000 Tl
0.0000 0.0000 0.0000 Ag
0.8735 0.8919 0.5132 Se
0.3787 0.3603 0.4868 Se
0.1081 0.6213 0.9816 Se
0.6397 0.1265 0.0184 Se
0.7500 0.2500 0.5000 Au
```

The value obtained for the calculated total energy is -3.253 eV per atom.

DFT (PBE) results for Si2AgAu after structural relaxation.

Structure (POSCAR):
```
Si2AgAu
1.0
0.0000 3.2519 3.2519
3.2519 0.0000 3.2519
3.2519 3.2519 0.0000
Au Si Ag
1 2 1
direct
0.2500 0.2500 0.2500 Au
0.7500 0.7500 0.7500 Si
0.0000 0.0000 0.0000 Si
0.5000 0.5000 0.5000 Ag
```

The value obtained for the calculated total energy is -3.811 eV per atom.

DFT (PBE) results for Si5AgAu3 after structural relaxation.

Structure (POSCAR):
```
Si5AgAu3
1.0
-1.6973 -4.8799 -2.9665
1.2731 -0.3381 5.8103
-5.5513 1.1507 1.2833
Ag Au Si
1 3 5
direct
0.0000 0.0000 0.0000 Ag
0.5000 0.0000 0.5000 Au
0.0000 0.5000 0.5000 Au
0.5000 0.5000 0.5000 Au
0.3333 0.6667 0.1957 Si
0.3333 0.6667 0.8043 Si
0.6667 0.3333 0.8043 Si
0.0000 0.0000 0.5000 Si
0.6667 0.3333 0.1957 Si
```

The value obtained for the calculated total energy is -3.895 eV per atom.

DFT (PBE) results for SiAgAu2 after structural relaxation.

Structure (POSCAR):
```
SiAgAu2
1.0
1.9733 -1.6556 3.8375
0.2278 2.6238 3.7981
-2.6029 -1.0279 3.6783
Au Si Ag
2 1 1
direct
0.7500 0.7500 0.7500 Au
0.0000 0.0000 0.0000 Au
0.5000 0.5000 0.5000 Si
0.2500 0.2500 0.2500 Ag
```

The value obtained for the calculated total energy is -3.521 eV per atom.

DFT (PBE) results for SiAg2Au after structural relaxation.

Structure (POSCAR):
```
SiAg2Au
1.0
2.4955 0.1671 3.8433
0.8520 4.0340 2.0069
-2.0029 1.0439 3.9906
Au Ag Si
1 2 1
direct
0.2500 0.2500 0.2500 Au
0.0000 0.0000 0.0000 Ag
0.7500 0.7500 0.7500 Ag
0.5000 0.5000 0.5000 Si
```

The value obtained for the calculated total energy is -3.439 eV per atom.